Sr2Hg2O5 | PBE | optimized geometry

Summary:
E_form (uncorrected) (eV per atom): -1.266
Fermi-level density of states (states/eV per atom): 0.14

Cell lengths 4.3978, 7.1339, 5.6204 Å; angles 112.09, 90.00, 107.95 degrees
Atoms (fractional coordinates):
Hg: 0.1048 0.2096 0.8064
Hg: 0.8952 0.7904 0.1936
O: 0.5931 0.1862 0.8061
O: 0.4069 0.8138 0.1939
O: 0.8151 0.6302 0.4334
O: 0.1849 0.3698 0.5666
O: 0.0000 0.0000 0.0000
Sr: 0.6185 0.2370 0.3246
Sr: 0.3815 0.7630 0.6754